# SrOsRu

An optimized crystal structure of SrOsRu (GGA-PBE, Alexandria).

- Polymorph energy (0 for the lowest one): 298 meV/atom
- Formation enthalpy at 0 K: 53 kJ per mole of atoms
- Fermi-level density of states: 3.35 states/eV per cell
- Space-group type: I4mm

Geometry as POSCAR:
```
SrOsRu
1.0
6.785 0.026 -0.028
6.076 3.018 -0.034
0.708 0.173 2.986
Sr Os Ru
1 1 1
Cartesian
8.794 2.083 0.958
12.472 2.952 0.036
5.164 1.226 1.869
```



# PrSbRh

An optimized crystal structure of PrSbRh (GGA-PBE, Alexandria).

- Fermi-level density of states: 1.70 states/eV per cell
- Space-group type: I4mm
- Uncorrected formation energy: -429 meV/atom

Geometry as POSCAR:
```
PrSbRh
1.0
4.015 0.000 0.000
0.000 4.015 0.000
-2.007 -2.007 4.706
Pr Rh Sb
1 1 1
Cartesian
2.007 2.007 0.908
2.007 2.007 4.547
0.000 0.000 2.544
```



# Ac4Te2RuSe

An optimized crystal structure of Ac4Te2RuSe (GGA-PBE, Alexandria).

- Fermi-level density of states: 4.93 states/eV per cell
- Space-group type: P2/m
- Uncorrected formation energy: -1245 meV/atom

Geometry as POSCAR:
```
Ac4Te2RuSe
1.0
-3.547 2.586 0.774
1.018 -0.956 7.857
4.331 6.597 -2.191
Te Ru Ac Se
2 1 4 1
Cartesian
0.392 4.591 -0.708
2.675 2.821 2.833
-1.264 0.815 4.316
3.696 4.934 0.455
1.653 0.707 5.211
2.364 5.749 4.460
-0.562 2.478 1.980
0.000 0.000 0.000
```



# BaThSe2

An optimized crystal structure of BaThSe2 (GGA-PBE, Alexandria).

- Polymorph energy (0 for the lowest one): 0 meV/atom
- Fermi-level density of states: 2.61 states/eV per cell
- Space-group type: R-3m
- Uncorrected formation energy: -1709 meV/atom

Geometry as POSCAR:
```
BaThSe2
1.0
4.337 0.000 0.000
2.168 3.756 0.000
2.168 1.252 7.507
Th Ba Se
1 1 2
Cartesian
0.000 0.000 0.000
4.337 2.504 3.754
6.505 3.756 5.842
2.168 1.252 1.665
```